# HoSeBr PBE-GGA optimized geometry
data_HoSeBr
_chemical_formula_sum 'Ho4 Se4 Br4'
_symmetry_space_group_name_H-M 'P 42/m m c'
_symmetry_Int_Tables_number 131
_symmetry_space_group_name_Hall '-P 4c 2'
_cell_length_a 8.335
_cell_length_b 8.335
_cell_length_c 5.675
_cell_angle_alpha 90.00
_cell_angle_beta 90.00
_cell_angle_gamma 90.00
loop_
_atom_site_label
_atom_site_type_symbol
_atom_site_fract_x
_atom_site_fract_y
_atom_site_fract_z
_atom_site_occupancy
Ho1 Ho 0.000 0.253 0.000 1
Se1 Se 0.000 0.234 0.500 1
Br1 Br 0.230 0.500 0.000 1
# - final energy (eV per atom) = -5.1254
# - energy relative to the elements, uncorrected (meV/atom) = -1880